Entry 1:
VASP calculation (PBE) on an optimized crystal structure of TaNb3Fe.

The calculated formation energy is 1.991 eV/atom. The value obtained for the calculated volume is 22.70 A^3/atom. The value obtained for the electronic total energy is -8.114 eV/atom. As for the crystal system: cubic.

The space group is Pm-3m (No. 221) and the conventional cell measures 4.842, 4.842 and 4.842 Å, with angles of 90.00, 90.00 and 90.00 degrees. The distinct sites, in fractional coordinates, are Ta at (0.000, 0.000, 0.000), Nb at (0.000, 0.000, 0.500) and Fe at (0.500, 0.500, 0.500).



Entry 2:
VASP calculation (PBE) on an optimized crystal structure of TaNb3Fe.

The calculated formation energy is 0.754 eV/atom. The value obtained for the calculated volume is 19.19 A^3/atom. The value obtained for the electronic total energy is -9.351 eV/atom. As for the crystal system: cubic.

The space group is Pm-3m (No. 221) and the conventional cell measures 4.578, 4.578 and 4.578 Å, with angles of 90.00, 90.00 and 90.00 degrees. The distinct sites, in fractional coordinates, are Ta at (0.000, 0.000, 0.000), Nb at (0.000, 0.500, 0.500) and Fe at (0.500, 0.500, 0.500).



Entry 3:
VASP calculation (PBE) on an optimized crystal structure of TaNbFe2.

The calculated formation energy is 0.479 eV/atom. The value obtained for the calculated volume is 15.43 A^3/atom. The value obtained for the electronic total energy is -9.233 eV/atom. As for the crystal system: tetragonal.

The space group is I-42d (No. 122) and the conventional cell measures 6.784, 6.784 and 5.365 Å, with angles of 90.00, 90.00 and 90.00 degrees. The distinct sites, in fractional coordinates, are Ta at (0.000, 0.000, 0.000), Nb at (0.000, 0.000, 0.500) and Fe at (0.250, 0.250, 0.125).



Entry 4:
VASP calculation (PBE) on an optimized crystal structure of Ta3Nb2Fe2.

The calculated formation energy is -0.072 eV/atom. The value obtained for the calculated volume is 16.07 A^3/atom. The value obtained for the electronic total energy is -10.447 eV/atom. As for the crystal system: tetragonal.

The space group is I4/mmm (No. 139) and the conventional cell measures 3.176, 3.176 and 22.307 Å, with angles of 90.00, 90.00 and 90.00 degrees. The distinct sites, in fractional coordinates, are Ta at (0.000, 0.000, 0.000), Ta at (0.000, 0.000, 0.134), Nb at (0.000, 0.000, 0.287) and Fe at (0.000, 0.000, 0.434).



Entry 5:
VASP calculation (PBE) on an optimized crystal structure of Ta2NbFe2.

The calculated formation energy is 0.028 eV/atom. The value obtained for the calculated volume is 15.27 A^3/atom. The value obtained for the electronic total energy is -10.112 eV/atom. As for the crystal system: tetragonal.

The space group is P4/mbm (No. 127) and the conventional cell measures 7.093, 7.093 and 3.034 Å, with angles of 90.00, 90.00 and 90.00 degrees. The distinct sites, in fractional coordinates, are Ta at (0.163, 0.337, 0.000), Nb at (0.000, 0.000, 0.500) and Fe at (0.131, 0.631, 0.500).



Entry 6:
VASP calculation (PBE) on an optimized crystal structure of Ta5Nb4Fe.

The calculated formation energy is -0.026 eV/atom. The value obtained for the calculated volume is 17.53 A^3/atom. The value obtained for the electronic total energy is -10.826 eV/atom. As for the crystal system: tetragonal.

The space group is P4/mmm (No. 123) and the conventional cell measures 3.263, 3.263 and 16.465 Å, with angles of 90.00, 90.00 and 90.00 degrees. The distinct sites, in fractional coordinates, are Ta at (0.000, 0.000, 0.000), Ta at (0.000, 0.000, 0.207), Ta at (0.000, 0.000, 0.410), Nb at (0.500, 0.500, 0.103), Nb at (0.500, 0.500, 0.307) and Fe at (0.500, 0.500, 0.500).



Entry 7:
VASP calculation (PBE) on an optimized crystal structure of Ta6Nb2Fe.

The calculated formation energy is 0.165 eV/atom. The value obtained for the calculated volume is 17.94 A^3/atom. The value obtained for the electronic total energy is -10.914 eV/atom. As for the crystal system: orthorhombic.

The space group is Amm2 (No. 38) and the conventional cell measures 2.995, 14.391 and 7.492 Å, with angles of 90.00, 90.00 and 90.00 degrees. The distinct sites, in fractional coordinates, are Ta at (0.000, 0.000, 0.000), Ta at (0.000, 0.131, 0.634), Ta at (0.500, 0.000, 0.342), Ta at (0.500, 0.170, 0.967), Nb at (0.000, 0.175, 0.287) and Fe at (0.500, 0.000, 0.728).



Entry 8:
VASP calculation (PBE) on an optimized crystal structure of Ta2NbFe9.

The calculated formation energy is -0.095 eV/atom. The value obtained for the calculated volume is 12.60 A^3/atom. The value obtained for the electronic total energy is -9.256 eV/atom. As for the crystal system: trigonal.

The space group is R-3m (No. 166, hexagonal axes) and the conventional cell measures 4.7592, 4.7592 and 23.1202 Å, with angles of 90.00, 90.00 and 120.00 degrees. The distinct sites, in fractional coordinates, are Ta at (0.0000, 0.0000, 0.1397), Nb at (0.0000, 0.0000, 0.0000), Fe at (0.0000, 0.0000, 0.3347), Fe at (0.0000, 0.0000, 0.5000) and Fe at (0.0062, 0.5031, 0.9157).



Entry 9:
VASP calculation (PBE) on an optimized crystal structure of Ta4NbFe.

The calculated formation energy is 0.091 eV/atom. The value obtained for the calculated volume is 17.27 A^3/atom. The value obtained for the electronic total energy is -10.900 eV/atom. As for the crystal system: tetragonal.

The space group is P4/mmm (No. 123) and the conventional cell measures 2.879, 2.879 and 12.501 Å, with angles of 90.00, 90.00 and 90.00 degrees. The distinct sites, in fractional coordinates, are Ta at (0.000, 0.000, 0.132), Ta at (0.500, 0.500, 0.314), Nb at (0.000, 0.000, 0.500) and Fe at (0.500, 0.500, 0.000).



Entry 10:
VASP calculation (PBE) on an optimized crystal structure of Ta2NbFe.

The calculated formation energy is 0.487 eV/atom. The value obtained for the calculated volume is 17.38 A^3/atom. The value obtained for the electronic total energy is -10.073 eV/atom. As for the crystal system: tetragonal.

The space group is I-42d (No. 122) and the conventional cell measures 7.163, 7.163 and 5.420 Å, with angles of 90.00, 90.00 and 90.00 degrees. The distinct sites, in fractional coordinates, are Ta at (0.211, 0.250, 0.125), Nb at (0.000, 0.000, 0.500) and Fe at (0.000, 0.000, 0.000).



Entry 11:
VASP calculation (PBE) on an optimized crystal structure of TaNbFe4.

The calculated formation energy is -0.174 eV/atom. The value obtained for the calculated volume is 13.18 A^3/atom. The value obtained for the electronic total energy is -9.469 eV/atom. As for the crystal system: cubic.

The space group is F-43m (No. 216) and the conventional cell measures 6.813, 6.813 and 6.813 Å, with angles of 90.00, 90.00 and 90.00 degrees. The distinct sites, in fractional coordinates, are Ta at (0.000, 0.000, 0.000), Nb at (0.250, 0.250, 0.250) and Fe at (0.125, 0.125, 0.625).



Entry 12:
VASP calculation (PBE) on an optimized crystal structure of Ta5Nb2Fe.

The calculated formation energy is -0.019 eV/atom. The value obtained for the calculated volume is 17.32 A^3/atom. The value obtained for the electronic total energy is -11.002 eV/atom. As for the crystal system: orthorhombic.

The space group is Pbam (No. 55) and the conventional cell measures 6.513, 13.079 and 3.254 Å, with angles of 90.00, 90.00 and 90.00 degrees. The distinct sites, in fractional coordinates, are Ta at (0.000, 0.000, 0.000), Ta at (0.010, 0.248, 0.000), Ta at (0.233, 0.619, 0.500), Nb at (0.249, 0.378, 0.500) and Fe at (0.000, 0.500, 0.000).